Density functional theory data (GGA+U) for Cr2Ag2O7 after structural relaxation.

Properties
Volume in Å³/f.u.: 167.3
Energy relative to the lowest polymorph listed for this composition in eV per atom: 0.011

Cell lengths 7.053, 7.099, 7.514 Å; angles 64.73, 82.15, 80.49 degrees
Space group P-1 (No. 2)
Inequivalent atoms, fractional coordinates:
1 Cr 0.120 0.131 0.188
2 Cr 0.347 0.266 0.747
3 Ag 0.168 0.609 0.270
4 Ag 0.365 0.788 0.668
5 O 0.101 0.771 0.886
6 O 0.124 0.893 0.366
7 O 0.154 0.412 0.640
8 O 0.213 0.288 0.252
9 O 0.271 0.099 0.989
10 O 0.446 0.117 0.631
11 O 0.497 0.423 0.749